# ZrMo2O8 GGA+U optimized geometry
# Density of states at the Fermi level in states/eV per cell: 0.0
# Calculated density in g/cm³: 4.117
# Excess energy over the best structure of this formula in the dataset in eV/f.u.: 1.17
# Total moment in μB/atom: 0.00
# Calculated volume in Å³/f.u.: 165.8
# Symmetry: No. 12
data_ZrMo2O8
_chemical_formula_sum 'Zr1 Mo2 O8'
_cell_length_a 6.208
_cell_length_b 6.208
_cell_length_c 4.968
_cell_angle_alpha 90.17
_cell_angle_beta 90.17
_cell_angle_gamma 60.01
_symmetry_space_group_name_H-M 'P 1'
_symmetry_Int_Tables_number 1
_symmetry_space_group_name_Hall 'P 1'
loop_
_atom_site_label
_atom_site_type_symbol
_atom_site_fract_x
_atom_site_fract_y
_atom_site_fract_z
Zr1 Zr 0.000 0.000 0.000
Mo1 Mo 0.333 0.333 0.854
Mo2 Mo 0.667 0.667 0.146
O1 O 0.167 0.167 0.768
O2 O 0.167 0.665 0.768
O3 O 0.333 0.333 0.200
O4 O 0.335 0.833 0.232
O5 O 0.665 0.167 0.768
O6 O 0.667 0.667 0.800
O7 O 0.833 0.335 0.232
O8 O 0.833 0.833 0.232